Computed, not measured: a relaxed K2MnCl3 crystal at the PBE level of DFT.

The structure in POSCAR format:
```
K2MnCl3
1.0
4.268 0.000 0.000
0.000 4.975 0.000
-2.134 -2.488 8.058
K Mn Cl
2 1 3
Direct
0.355 0.355 0.710
0.645 0.645 0.290
0.000 0.000 0.000
0.844 0.844 0.689
0.000 0.500 0.000
0.156 0.156 0.311
```

## Properties
The value obtained for the density of states at the Fermi level is 1.36 states/eV/cell. The value obtained for the total magnetization is 4.10 μB per formula unit. Its uncorrected formation energy is -126 kJ/mol of atoms. The crystal system is orthorhombic.

---

Computed, not measured: a relaxed K3NaMn2Cl8 crystal at the PBE level of DFT.

The structure in POSCAR format:
```
K3NaMn2Cl8
1.0
-2.100 6.089 -3.673
-3.708 -6.354 -0.928
-5.485 2.209 6.797
Cl Mn Na K
8 2 1 3
Direct
0.168 0.336 0.310
0.667 0.333 0.059
0.168 0.832 0.310
0.832 0.168 0.690
0.664 0.832 0.310
0.333 0.667 0.941
0.832 0.664 0.690
0.336 0.168 0.690
0.333 0.667 0.195
0.667 0.333 0.805
0.000 0.000 0.500
0.333 0.667 0.609
0.000 0.000 0.000
0.667 0.333 0.391
```

## Properties
The value obtained for the density of states at the Fermi level is 0.00 states/eV/cell. The value obtained for the total magnetization is 10.00 μB per formula unit. Its uncorrected formation energy is -150 kJ/mol of atoms. The crystal system is trigonal.

---

Computed, not measured: a relaxed KNaMn2Cl6 crystal at the PBE level of DFT.

The structure in POSCAR format:
```
KNaMn2Cl6
1.0
-4.331 2.779 -4.838
-5.838 -7.205 -0.493
-5.798 4.116 5.973
Cl Mn K Na
12 4 2 2
Direct
0.597 0.424 0.285
0.097 0.285 0.424
0.334 0.226 0.023
0.903 0.715 0.576
0.608 0.162 0.603
0.834 0.023 0.226
0.392 0.838 0.397
0.403 0.576 0.715
0.166 0.977 0.774
0.892 0.397 0.838
0.666 0.774 0.977
0.108 0.603 0.162
0.282 0.387 0.219
0.718 0.613 0.781
0.782 0.219 0.387
0.218 0.781 0.613
0.750 0.098 0.902
0.250 0.902 0.098
0.750 0.719 0.281
0.250 0.281 0.719
```

## Properties
The value obtained for the density of states at the Fermi level is 0.00 states/eV/cell. The value obtained for the total magnetization is 10.00 μB per formula unit. Its uncorrected formation energy is -135 kJ/mol of atoms. The crystal system is monoclinic.

---

Computed, not measured: a relaxed KNaMnCl6 crystal at the PBE level of DFT.

The structure in POSCAR format:
```
KNaMnCl6
1.0
-3.106 -2.623 -5.204
2.182 -6.199 1.823
-5.949 2.353 2.364
Na K Cl Mn
1 1 6 1
Direct
0.500 0.667 0.333
0.000 0.333 0.667
0.702 0.278 0.009
0.702 0.731 0.722
0.702 0.991 0.269
0.298 0.991 0.722
0.298 0.278 0.269
0.298 0.731 0.009
0.500 0.000 0.000
```

## Properties
The value obtained for the total magnetization is 3.17 μB per formula unit. Its uncorrected formation energy is -127 kJ/mol of atoms. The crystal system is trigonal.

---

Computed, not measured: a relaxed K3NaMn2Cl9 crystal at the PBE level of DFT.

The structure in POSCAR format:
```
K3NaMn2Cl9
1.0
-5.624 0.945 4.291
-0.748 -3.585 -6.126
1.932 -7.587 4.203
Cl Mn Na K
9 2 1 3
Direct
0.500 0.000 0.000
0.173 0.347 0.314
0.653 0.827 0.314
0.173 0.827 0.314
0.000 0.500 0.000
0.347 0.173 0.686
0.827 0.173 0.686
0.827 0.653 0.686
0.500 0.500 0.000
0.333 0.667 0.165
0.667 0.333 0.835
0.000 0.000 0.500
0.000 0.000 0.000
0.667 0.333 0.339
0.333 0.667 0.661
```

## Properties
The value obtained for the density of states at the Fermi level is 2.18 states/eV/cell. The value obtained for the total magnetization is 9.00 μB per formula unit. Its uncorrected formation energy is -145 kJ/mol of atoms. The crystal system is trigonal.

---

Computed, not measured: a relaxed KNaMnCl4 crystal at the PBE level of DFT.

The structure in POSCAR format:
```
KNaMnCl4
1.0
-2.758 6.375 0.628
-3.195 -0.752 -6.395
-5.544 -5.408 3.405
Mn Cl K Na
2 8 2 2
Direct
0.750 0.250 0.672
0.250 0.750 0.328
0.015 0.996 0.275
0.469 0.750 0.593
0.531 0.250 0.407
0.015 0.504 0.275
0.448 0.750 0.146
0.985 0.004 0.725
0.552 0.250 0.854
0.985 0.496 0.725
0.757 0.750 0.945
0.243 0.250 0.055
0.789 0.750 0.448
0.211 0.250 0.552
```

## Properties
The value obtained for the density of states at the Fermi level is 0.00 states/eV/cell. The value obtained for the total magnetization is 5.00 μB per formula unit. Its uncorrected formation energy is -148 kJ/mol of atoms. The crystal system is monoclinic.

---

Computed, not measured: a relaxed KNa2MnCl6 crystal at the PBE level of DFT.

The structure in POSCAR format:
```
KNa2MnCl6
1.0
7.283 0.037 0.211
3.674 5.923 0.155
3.844 2.040 6.456
Cl Na Mn K
6 2 1 1
Direct
0.982 0.539 0.229
0.152 0.390 0.763
0.374 0.688 0.789
0.683 0.143 0.795
0.255 0.980 0.223
0.569 0.236 0.237
0.993 0.033 0.971
0.523 0.513 0.423
0.326 0.330 0.016
0.804 0.811 0.570
```

## Properties
The value obtained for the density of states at the Fermi level is 0.12 states/eV/cell. The value obtained for the total magnetization is 4.00 μB per formula unit. Its uncorrected formation energy is -142 kJ/mol of atoms. The crystal system is triclinic.

---

Computed, not measured: a relaxed KNaMnCl5 crystal at the PBE level of DFT.

The structure in POSCAR format:
```
KNaMnCl5
1.0
-2.173 0.426 -7.408
7.382 -2.212 0.635
-4.918 -7.561 3.361
Cl Mn K Na
10 2 2 2
Direct
0.915 0.085 0.750
0.836 0.289 0.104
0.164 0.711 0.896
0.711 0.164 0.396
0.402 0.310 0.069
0.289 0.836 0.604
0.310 0.402 0.569
0.690 0.598 0.431
0.598 0.690 0.931
0.085 0.915 0.250
0.340 0.660 0.750
0.660 0.340 0.250
0.321 0.679 0.250
0.679 0.321 0.750
0.000 0.000 0.000
0.000 0.000 0.500
```

## Properties
The value obtained for the total magnetization is 3.95 μB per formula unit. Its uncorrected formation energy is -133 kJ/mol of atoms. The crystal system is monoclinic.

---

Computed, not measured: a relaxed KNa3Mn4Cl12 crystal at the PBE level of DFT.

The structure in POSCAR format:
```
KNa3Mn4Cl12
1.0
9.051 -0.220 -0.306
-2.395 8.731 -0.306
-2.395 -3.062 8.183
Cl Na Mn K
12 3 4 1
Direct
0.339 0.946 0.217
0.344 0.656 0.500
0.656 0.500 0.344
0.095 0.905 0.500
0.500 0.344 0.656
0.783 0.054 0.661
0.217 0.339 0.946
0.946 0.217 0.339
0.661 0.783 0.054
0.500 0.095 0.905
0.905 0.500 0.095
0.054 0.661 0.783
0.560 0.440 0.000
0.440 0.000 0.560
0.000 0.560 0.440
0.500 0.938 0.062
0.938 0.062 0.500
0.062 0.500 0.938
0.500 0.500 0.500
0.000 0.000 0.000
```

## Properties
The value obtained for the density of states at the Fermi level is 0.00 states/eV/cell. The value obtained for the total magnetization is 20.00 μB per formula unit. Its uncorrected formation energy is -126 kJ/mol of atoms. The crystal system is trigonal.

---

Computed, not measured: a relaxed KMn2NbCl8 crystal at the PBE level of DFT.

The structure in POSCAR format:
```
KMn2NbCl8
1.0
-2.443 -3.108 -4.865
2.686 -5.298 -2.003
-5.881 -8.279 4.204
Cl Mn Nb K
8 2 1 1
Direct
0.233 0.851 0.342
0.684 0.684 0.948
0.767 0.426 0.658
0.574 0.233 0.342
0.316 0.316 0.052
0.851 0.574 0.342
0.149 0.767 0.658
0.426 0.149 0.658
0.243 0.243 0.271
0.757 0.757 0.729
0.500 0.500 0.500
0.000 0.000 0.000
```

## Properties
The value obtained for the density of states at the Fermi level is 5.69 states/eV/cell. The value obtained for the total magnetization is 12.00 μB per formula unit. Its uncorrected formation energy is -109 kJ/mol of atoms. The crystal system is trigonal.

---

Computed, not measured: a relaxed K2MnNb6Cl18 crystal at the PBE level of DFT.

The structure in POSCAR format:
```
K2MnNb6Cl18
1.0
-7.639 -6.529 1.003
1.030 -9.715 2.559
-3.042 -3.999 8.760
Cl Mn Nb K
18 1 6 2
Direct
0.842 0.037 0.296
0.704 0.158 0.963
0.783 0.082 0.633
0.217 0.918 0.367
0.296 0.842 0.037
0.428 0.559 0.845
0.559 0.845 0.428
0.037 0.296 0.842
0.441 0.155 0.572
0.082 0.633 0.783
0.367 0.217 0.918
0.963 0.704 0.158
0.158 0.963 0.704
0.845 0.428 0.559
0.918 0.367 0.217
0.633 0.783 0.082
0.155 0.572 0.441
0.572 0.441 0.155
0.000 0.000 0.000
0.592 0.347 0.702
0.408 0.653 0.298
0.653 0.298 0.408
0.298 0.408 0.653
0.702 0.592 0.347
0.347 0.702 0.592
0.722 0.722 0.722
0.278 0.278 0.278
```

## Properties
The value obtained for the total magnetization is 5.00 μB per formula unit. Its uncorrected formation energy is -130 kJ/mol of atoms. The crystal system is trigonal.

---

Computed, not measured: a relaxed KMnNi2Cl crystal at the PBE level of DFT.

The structure in POSCAR format:
```
KMnNi2Cl
1.0
-3.310 -1.802 -2.726
3.465 -3.562 -1.851
-1.202 -2.936 3.401
Mn K Ni Cl
1 1 2 1
Direct
0.500 0.500 0.500
0.000 0.000 0.000
0.000 0.000 0.500
0.500 0.000 0.000
0.000 0.500 0.000
```

## Properties
The value obtained for the density of states at the Fermi level is 1.77 states/eV/cell. The value obtained for the total magnetization is 5.11 μB per formula unit. Its uncorrected formation energy is 145 kJ/mol of atoms. The crystal system is tetragonal.

---

Computed, not measured: a relaxed KMnNi2Cl8 crystal at the PBE level of DFT.

The structure in POSCAR format:
```
KMnNi2Cl8
1.0
-2.129 -5.672 -1.069
-1.823 -3.536 4.692
-9.990 0.336 0.405
Cl Ni Mn K
8 2 1 1
Direct
0.813 0.813 0.562
0.349 0.740 0.855
0.944 0.651 0.145
0.651 0.260 0.145
0.740 0.056 0.855
0.260 0.944 0.145
0.056 0.349 0.855
0.187 0.187 0.438
0.265 0.265 0.204
0.735 0.735 0.796
0.000 0.000 0.000
0.500 0.500 0.500
```

## Properties
The value obtained for the density of states at the Fermi level is 8.92 states/eV/cell. The value obtained for the total magnetization is 5.93 μB per formula unit. Its uncorrected formation energy is -78 kJ/mol of atoms. The crystal system is trigonal.

---

Computed, not measured: a relaxed K2MnNiCl6 crystal at the PBE level of DFT.

The structure in POSCAR format:
```
K2MnNiCl6
1.0
-6.031 0.287 -3.553
-3.272 -5.906 -1.860
-5.947 -1.807 3.063
Cl K Mn Ni
6 2 1 1
Direct
0.609 0.067 0.810
0.077 0.515 0.800
0.023 0.565 0.293
0.555 0.118 0.303
0.519 0.605 0.806
0.114 0.028 0.297
0.067 0.066 0.801
0.565 0.566 0.303
0.816 0.816 0.552
0.316 0.316 0.051
```

## Properties
The value obtained for the density of states at the Fermi level is 3.40 states/eV/cell. The value obtained for the total magnetization is 6.70 μB per formula unit. Its uncorrected formation energy is -120 kJ/mol of atoms. The crystal system is triclinic.